Record 1
LiNdGaPd2: relaxed, PBE. Values from VASP.

## Properties
* calculated formation energy: -0.6982 eV/atom
* size of the total moment: 0.0 μB per formula unit
* density: 7.53 g/cm3

```
&SYSTEM
  ibrav = 0, nat = 5, ntyp = 4
/
ATOMIC_SPECIES
Pd 106.42 Pd.upf
Nd 144.24 Nd.upf
Ga 69.72 Ga.upf
Li 6.94 Li.upf
ATOMIC_POSITIONS crystal
Pd 0.387 0.387 0.774
Pd 0.613 0.613 0.226
Nd 0.000 0.000 0.000
Ga 0.750 0.250 0.500
Li 0.250 0.750 0.500
CELL_PARAMETERS angstrom
3.966 0.000 0.000
0.000 3.966 0.000
-1.983 -1.983 6.080
```



Record 2
Li2Nd2GaPd5: relaxed, PBE. Values from VASP.

## Properties
* calculated formation energy: -0.6337 eV/atom
* size of the total moment: 0.0 μB per formula unit
* density: 8.65 g/cm3

```
&SYSTEM
  ibrav = 0, nat = 20, ntyp = 4
/
ATOMIC_SPECIES
Nd 144.24 Nd.upf
Li 6.94 Li.upf
Pd 106.42 Pd.upf
Ga 69.72 Ga.upf
ATOMIC_POSITIONS crystal
Nd 0.000 0.821 0.679
Nd 0.000 0.179 0.321
Nd 0.000 0.679 0.179
Nd 0.000 0.321 0.821
Li 0.000 0.380 0.120
Li 0.000 0.120 0.620
Li 0.000 0.620 0.880
Li 0.000 0.880 0.380
Pd 0.500 0.796 0.937
Pd 0.500 0.063 0.796
Pd 0.500 0.000 0.500
Pd 0.500 0.204 0.063
Pd 0.500 0.563 0.704
Pd 0.500 0.704 0.437
Pd 0.500 0.500 0.000
Pd 0.500 0.437 0.296
Pd 0.500 0.937 0.204
Pd 0.500 0.296 0.563
Ga 0.000 0.000 0.000
Ga 0.000 0.500 0.500
CELL_PARAMETERS angstrom
-2.914 -1.887 1.346
4.872 -1.706 8.158
-3.517 8.146 3.804
```



Record 3
Li2NdGaPd: relaxed, PBE. Values from VASP.

## Properties
* calculated formation energy: -0.4030 eV/atom
* size of the total moment: 0.0 μB per formula unit
* density: 5.71 g/cm3

```
&SYSTEM
  ibrav = 0, nat = 5, ntyp = 4
/
ATOMIC_SPECIES
Pd 106.42 Pd.upf
Li 6.94 Li.upf
Nd 144.24 Nd.upf
Ga 69.72 Ga.upf
ATOMIC_POSITIONS crystal
Pd 0.834 0.834 0.667
Li 0.055 0.055 0.111
Li 0.706 0.206 0.412
Nd 0.436 0.436 0.873
Ga 0.181 0.681 0.361
CELL_PARAMETERS angstrom
3.776 0.000 0.000
0.000 4.472 0.000
-1.888 -2.236 5.751
```